(1)
# KHg2Br

Crystalline KHg2Br at its relaxed geometry (PBE-GGA, Alexandria via LeMat-Bulk).

Properties
Spin magnetization = 0.00 μB per cell
Polymorph energy (0 for the lowest one) = 130.1 meV/atom
Crystal system = orthorhombic
ΔE_f (raw) = -0.6405 eV per atom

extended XYZ file:
```
4
Lattice="4.782 0.000 0.000 0.000 4.821 0.000 0.000 0.000 6.446" Properties=species:S:1:pos:R:3 pbc="T T T"
K 0.000 0.000 0.000
Hg 2.391 2.410 1.712
Hg 2.391 2.410 4.734
Br 0.000 0.000 3.223
```

***

(2)
# Ac2SmAu6

Crystalline Ac2SmAu6 at its relaxed geometry (PBE-GGA, Alexandria via LeMat-Bulk).

Properties
Spin magnetization = 0.00 μB per cell
Polymorph energy (0 for the lowest one) = 104.7 meV/atom
Crystal system = orthorhombic
Fermi-level density of states = 0.618 states/eV/atom
Calculated formation energy = -6.13 eV/f.u.

extended XYZ file:
```
9
Lattice="-1.957 3.933 7.687 1.957 -3.933 7.687 1.957 3.933 -7.687" Properties=species:S:1:pos:R:3 pbc="T T T"
Ac 0.000 0.000 2.191
Ac 0.000 0.000 13.182
Sm 0.000 3.933 0.000
Au 1.957 2.522 -2.629
Au 1.957 1.497 0.000
Au 1.957 2.522 2.629
Au 0.000 1.411 5.058
Au 0.000 2.436 7.687
Au 0.000 1.411 10.316
```

***

(3)
# RuSe

Crystalline RuSe at its relaxed geometry (PBE-GGA, Alexandria via LeMat-Bulk).

Properties
Spin magnetization = 0.00 μB per cell
Crystal system = orthorhombic
Fermi-level density of states = 0.909 states/eV/atom
ΔE_f (raw) = -0.0044 eV per atom

extended XYZ file:
```
6
Lattice="3.637 0.000 0.000 0.000 5.561 2.773 0.000 -5.561 2.773" Properties=species:S:1:pos:R:3 pbc="T T T"
Ru 0.000 0.000 0.000
Ru 1.818 -3.316 2.333
Ru 1.818 3.316 2.333
Se 0.000 -1.940 1.416
Se 0.000 1.940 1.416
Se 1.818 0.000 3.985
```

***

(4)
# K3H4Pt

Crystalline K3H4Pt at its relaxed geometry (PBE-GGA, Alexandria via LeMat-Bulk).

Properties
Spin magnetization = 0.00 μB per cell
Uncorrected energy = -50.091 eV/cell
Crystal system = orthorhombic
Fermi-level density of states = 0.154 states/eV/atom

extended XYZ file:
```
16
Lattice="8.925 0.000 0.000 0.000 5.959 0.000 0.000 0.000 5.643" Properties=species:S:1:pos:R:3 pbc="T T T"
K 0.000 1.067 0.000
K 2.174 4.263 5.557
K 2.288 1.696 2.736
K 4.462 4.891 2.821
K 6.636 1.696 2.736
K 6.751 4.263 5.557
H 0.000 0.272 3.051
H 0.000 3.054 2.058
H 1.675 4.606 2.693
H 2.787 1.353 5.514
H 4.462 2.905 4.879
H 4.462 5.687 0.230
H 6.138 1.353 5.514
H 7.249 4.606 2.693
Pt 0.000 4.618 2.642
Pt 4.462 1.341 5.464
```

***

(5)
# Cs2CdO2

Crystalline Cs2CdO2 at its relaxed geometry (PBE-GGA, Alexandria via LeMat-Bulk).

Properties
Spin magnetization = 0.00 μB per cell
Crystal system = monoclinic
ΔE_f (raw) = -1.0797 eV per atom

extended XYZ file:
```
10
Lattice="6.638 -3.155 0.000 6.638 3.155 0.000 -4.411 0.000 6.942" Properties=species:S:1:pos:R:3 pbc="T T T"
Cs -0.767 0.000 1.780
Cs 0.320 0.000 6.349
Cs 8.545 0.000 0.593
Cs 9.632 0.000 5.162
Cd 3.096 0.000 2.648
Cd 5.769 0.000 4.294
O 1.985 0.000 0.915
O 3.465 0.000 4.718
O 5.400 0.000 2.223
O 6.880 0.000 6.027
```

***

(6)
# Li2CuBiBr

Crystalline Li2CuBiBr at its relaxed geometry (PBE-GGA, Alexandria via LeMat-Bulk).

Properties
Spin magnetization = 0.00 μB per cell
Crystal system = tetragonal
Fermi-level density of states = 0.780 states/eV/atom
ΔE_f (raw) = 0.3121 eV per atom

extended XYZ file:
```
5
Lattice="5.342 0.000 0.000 0.000 5.342 0.000 0.000 0.000 5.882" Properties=species:S:1:pos:R:3 pbc="T T T"
Li 0.000 2.671 0.000
Li 2.671 0.000 0.000
Cu 0.000 0.000 2.941
Bi 2.671 2.671 0.000
Br 2.671 2.671 2.941
```

***

(7)
# LaTmMg2Hg4

Crystalline LaTmMg2Hg4 at its relaxed geometry (PBE-GGA, Alexandria via LeMat-Bulk).

Properties
Spin magnetization = 0.00 μB per cell
Crystal system = trigonal
Fermi-level density of states = 0.361 states/eV/atom
Calculated formation energy = -3.66 eV/f.u.

extended XYZ file:
```
8
Lattice="2.557 1.476 8.513 -2.557 1.476 8.513 0.000 -2.952 8.513" Properties=species:S:1:pos:R:3 pbc="T T T"
La 0.000 0.000 0.000
Tm 0.000 0.000 12.770
Mg 0.000 0.000 6.341
Mg 0.000 0.000 19.198
Hg 0.000 0.000 3.287
Hg 0.000 0.000 9.739
Hg 0.000 0.000 15.800
Hg 0.000 0.000 22.252
```

***

(8)
# CaInRh2

Crystalline CaInRh2 at its relaxed geometry (PBE-GGA, Alexandria via LeMat-Bulk).

Properties
Spin magnetization = 0.00 μB per cell
Crystal system = monoclinic
Fermi-level density of states = 0.940 states/eV/atom
Calculated formation energy = -1.34 eV/f.u.

extended XYZ file:
```
4
Lattice="5.192 -1.564 0.000 5.192 1.564 0.000 -1.486 0.000 4.528" Properties=species:S:1:pos:R:3 pbc="T T T"
Ca 0.000 0.000 0.000
In 1.328 0.000 2.862
Rh 4.210 0.000 2.243
Rh 7.629 0.000 0.700
```

***

(9)
# TaReCl2

Crystalline TaReCl2 at its relaxed geometry (PBE-GGA, Alexandria via LeMat-Bulk).

Properties
Spin magnetization = 0.00 μB per cell
Polymorph energy (0 for the lowest one) = 516.6 meV/atom
Crystal system = orthorhombic
Fermi-level density of states = 0.730 states/eV/atom
ΔE_f (raw) = 0.0165 eV per atom

extended XYZ file:
```
4
Lattice="1.769 -2.518 0.000 1.769 2.518 0.000 0.000 0.000 9.385" Properties=species:S:1:pos:R:3 pbc="T T T"
Ta 0.000 0.000 0.000
Re 1.769 0.000 7.572
Cl 0.000 0.000 5.581
Cl 1.769 0.000 1.965
```